An optimized crystal structure of Rb2YSeF6. Source: the Alexandria database, functional GGA-PBE.

CIF file:
```
data_Rb2YSeF6
_chemical_formula_sum 'Rb2 Y1 Se1 F6'
_space_group_name_H-M_alt 'P 1'
_space_group_IT_number 1
_cell_length_a 6.323
_cell_length_b 6.323
_cell_length_c 7.150
_cell_angle_alpha 63.76
_cell_angle_beta 63.76
_cell_angle_gamma 90.00
loop_
_space_group_symop_operation_xyz
'x,y,z'
loop_
_atom_site_label
_atom_site_type_symbol
_atom_site_fract_x
_atom_site_fract_y
_atom_site_fract_z
Y1 Y 0.000 0.000 0.000
Se1 Se 0.500 0.500 0.000
Rb1 Rb 0.750 0.250 0.500
Rb2 Rb 0.250 0.750 0.500
F1 F 0.194 0.194 0.611
F2 F 0.806 0.806 0.389
F3 F 0.244 0.244 0.000
F4 F 0.756 0.756 0.000
F5 F 0.756 0.244 0.000
F6 F 0.244 0.756 0.000
```

Output
Magnetization, μB/atom: 0.10
V, Å³/cell: 223
N(E_F), states/eV/f.u.: 5.11
Formation energy from raw total energies, eV per atom: -2.6622
E_tot, eV per atom: -4.97